[1]
# AcSbPt2, relaxed, DFT GGA-PBE
data_AcSbPt2
_space_group_name_H-M_alt 'P 1'
_space_group_IT_number 1
_space_group_name_Hall 'P 1'
_cell_length_a 4.9199
_cell_length_b 4.9199
_cell_length_c 3.8606
_cell_angle_alpha 90.00
_cell_angle_beta 90.00
_cell_angle_gamma 90.00
loop_
_atom_site_label
_atom_site_type_symbol
_atom_site_fract_x
_atom_site_fract_y
_atom_site_fract_z
_atom_site_occupancy
Ac1 Ac 0.0000 0.0000 0.0000 1
Sb1 Sb 0.5000 0.5000 0.0000 1
Pt1 Pt 0.0000 0.5000 0.5000 1
Pt2 Pt 0.5000 0.0000 0.5000 1
# **Offset from the most stable computed form**: 243 meV per atom
# **Crystal system**: tetragonal
# **M_tot**: 0.000 μB/f.u.

***

[2]
# RbMn2Cl8, relaxed, DFT GGA-PBE
data_RbMn2Cl8
_space_group_name_H-M_alt 'P 1'
_space_group_IT_number 1
_space_group_name_Hall 'P 1'
_cell_length_a 7.4334
_cell_length_b 7.5419
_cell_length_c 7.6046
_cell_angle_alpha 69.40
_cell_angle_beta 82.64
_cell_angle_gamma 79.13
loop_
_atom_site_label
_atom_site_type_symbol
_atom_site_fract_x
_atom_site_fract_y
_atom_site_fract_z
_atom_site_occupancy
Rb1 Rb 0.0000 0.0000 0.0000 1
Mn1 Mn 0.2238 0.3123 0.3043 1
Mn2 Mn 0.7762 0.6877 0.6957 1
Cl1 Cl 0.0555 0.7321 0.6997 1
Cl2 Cl 0.2690 0.2254 0.6011 1
Cl3 Cl 0.3133 0.5900 0.2130 1
Cl4 Cl 0.3558 0.1762 0.1022 1
Cl5 Cl 0.6442 0.8238 0.8978 1
Cl6 Cl 0.6867 0.4100 0.7870 1
Cl7 Cl 0.7310 0.7746 0.3989 1
Cl8 Cl 0.9445 0.2679 0.3003 1
# **Offset from the most stable computed form**: 0 meV per atom
# **Crystal system**: triclinic
# **M_tot**: 7.000 μB/f.u.

***

[3]
# Bi3IrI, relaxed, DFT GGA-PBE
data_Bi3IrI
_space_group_name_H-M_alt 'P 1'
_space_group_IT_number 1
_space_group_name_Hall 'P 1'
_cell_length_a 10.1825
_cell_length_b 10.1825
_cell_length_c 6.5533
_cell_angle_alpha 93.97
_cell_angle_beta 93.97
_cell_angle_gamma 106.37
loop_
_atom_site_label
_atom_site_type_symbol
_atom_site_fract_x
_atom_site_fract_y
_atom_site_fract_z
_atom_site_occupancy
Bi1 Bi 0.1322 0.7069 0.9832 1
Bi2 Bi 0.2262 0.5374 0.3693 1
Bi3 Bi 0.2675 0.4135 0.9088 1
Bi4 Bi 0.2931 0.8678 0.5168 1
Bi5 Bi 0.4135 0.2675 0.4088 1
Bi6 Bi 0.4626 0.7738 0.1307 1
Bi7 Bi 0.5374 0.2262 0.8693 1
Bi8 Bi 0.5865 0.7325 0.5912 1
Bi9 Bi 0.7069 0.1322 0.4832 1
Bi10 Bi 0.7325 0.5865 0.0912 1
Bi11 Bi 0.7738 0.4626 0.6307 1
Bi12 Bi 0.8678 0.2931 0.0168 1
Ir1 Ir 0.3329 0.6671 0.7500 1
Ir2 Ir 0.4836 0.5164 0.2500 1
Ir3 Ir 0.5164 0.4836 0.7500 1
Ir4 Ir 0.6671 0.3329 0.2500 1
I1 I 0.0446 0.2209 0.4754 1
I2 I 0.2209 0.0446 0.9754 1
I3 I 0.7791 0.9554 0.0246 1
I4 I 0.9554 0.7791 0.5246 1
# **Offset from the most stable computed form**: 17 meV per atom
# **Crystal system**: monoclinic
# **M_tot**: 0.000 μB/f.u.

***

Question: Which value of M_tot does entry 2 give?
Answer: 7.000 μB/f.u.

***

Question: Among the records above, which one has the highest offset from the most stable computed form?
Answer: AcSbPt2